Below is crystalline Nd2SmGe at its relaxed geometry, with properties calculated at the PBE level.

The relative energy among the computed polymorphs comes out at 1.603 eV per formula unit. The energy of formation from the pure elements is -0.027 eV per atom.

The space group is R-3m (No. 166, hexagonal axes) and the conventional cell measures 3.7354, 3.7354 and 33.2691 Å, with angles of 90.00, 90.00 and 120.00 degrees. The inequivalent atoms are Nd at (0.0000, 0.0000, 0.1060), Sm at (0.0000, 0.0000, 0.0000) and Ge at (0.0000, 0.0000, 0.5000).

---

Below is crystalline Nd8GaGe2 at its relaxed geometry, with properties calculated at the PBE level.

The energy of formation from the pure elements is -0.371 eV per atom.

The space group is C2/m (No. 12) and the conventional cell measures 19.338, 5.019 and 6.924 Å, with angles of 90.00, 102.45 and 90.00 degrees. The inequivalent atoms are Nd at (0.024, 0.000, 0.274), Nd at (0.092, 0.500, 0.973), Nd at (0.162, 0.500, 0.498), Nd at (0.212, 0.000, 0.835), Ga at (0.000, 0.500, 0.500) and Ge at (0.183, 0.000, 0.259).

---

Below is crystalline OsSeIN2 at its relaxed geometry, with properties calculated at the PBE level.

The relative energy among the computed polymorphs comes out at 0.000 eV per formula unit. Its uncorrected formation energy is 0.8370 eV per atom.

The space group is P4/mmm (No. 123) and the conventional cell measures 3.902, 3.902 and 5.685 Å, with angles of 90.00, 90.00 and 90.00 degrees. The inequivalent atoms are Os at (0.000, 0.000, 0.000), Se at (0.000, 0.000, 0.500), I at (0.500, 0.500, 0.500) and N at (0.000, 0.500, 0.000).

---

Below is crystalline Nb2NiRhN at its relaxed geometry, with properties calculated at the PBE level.

Its uncorrected formation energy is -0.5119 eV per atom.

The space group is P4/mmm (No. 123) and the conventional cell measures 4.246, 4.246 and 3.774 Å, with angles of 90.00, 90.00 and 90.00 degrees. The inequivalent atoms are Nb at (0.000, 0.500, 0.000), Ni at (0.000, 0.000, 0.500), Rh at (0.500, 0.500, 0.500) and N at (0.000, 0.000, 0.000).

---

Below is crystalline YCr2Fe at its relaxed geometry, with properties calculated at the PBE level.

The relative energy among the computed polymorphs comes out at 1.816 eV per formula unit. The energy of formation from the pure elements is 0.748 eV per atom.

The space group is I4/mmm (No. 139) and the conventional cell measures 4.146, 4.146 and 8.154 Å, with angles of 90.00, 90.00 and 90.00 degrees. The inequivalent atoms are Y at (0.000, 0.000, 0.000), Cr at (0.000, 0.500, 0.250) and Fe at (0.000, 0.000, 0.500).

---

Below is crystalline LiAl3 at its relaxed geometry, with properties calculated at the PBE level.

The energy of formation from the pure elements is -0.088 eV per atom.

The space group is I4/mmm (No. 139) and the conventional cell measures 4.024, 4.024 and 8.083 Å, with angles of 90.00, 90.00 and 90.00 degrees. The inequivalent atoms are Li at (0.000, 0.000, 0.000), Al at (0.000, 0.000, 0.500) and Al at (0.000, 0.500, 0.250).

---

Below is crystalline LiCaPrSb at its relaxed geometry, with properties calculated at the PBE level.

Its uncorrected formation energy is -0.4862 eV per atom.

The space group is F-43m (No. 216) and the conventional cell measures 7.607, 7.607 and 7.607 Å, with angles of 90.00, 90.00 and 90.00 degrees. The inequivalent atoms are Li at (0.000, 0.000, 0.000), Ca at (0.250, 0.250, 0.750), Pr at (0.250, 0.250, 0.250) and Sb at (0.000, 0.000, 0.500).

---

Below is crystalline CeAl2SiNi2 at its relaxed geometry, with properties calculated at the PBE level.

Its uncorrected formation energy is -0.4198 eV per atom.

The space group is P4/mmm (No. 123) and the conventional cell measures 4.294, 4.294 and 5.605 Å, with angles of 90.00, 90.00 and 90.00 degrees. The inequivalent atoms are Ce at (0.000, 0.000, 0.000), Al at (0.500, 0.500, 0.246), Si at (0.000, 0.000, 0.500) and Ni at (0.000, 0.500, 0.500).

---

Below is crystalline Mn2CrPt at its relaxed geometry, with properties calculated at the PBE level.

The energy of formation from the pure elements is 0.057 eV per atom.

The space group is R-3m (No. 166, hexagonal axes) and the conventional cell measures 2.7352, 2.7352 and 24.8673 Å, with angles of 90.00, 90.00 and 120.00 degrees. The inequivalent atoms are Mn at (0.0000, 0.0000, 0.2437), Cr at (0.0000, 0.0000, 0.5000) and Pt at (0.0000, 0.0000, 0.0000).

---

Below is crystalline AcPm5Mg4 at its relaxed geometry, with properties calculated at the PBE level.

The energy of formation from the pure elements is -0.076 eV per atom.

The space group is P4/mmm (No. 123) and the conventional cell measures 3.867, 3.867 and 20.730 Å, with angles of 90.00, 90.00 and 90.00 degrees. The inequivalent atoms are Ac at (0.000, 0.000, 0.000), Pm at (0.500, 0.500, 0.128), Pm at (0.500, 0.500, 0.314), Pm at (0.500, 0.500, 0.500), Mg at (0.000, 0.000, 0.221) and Mg at (0.000, 0.000, 0.407).

---

Below is crystalline MgURh at its relaxed geometry, with properties calculated at the PBE level.

The energy of formation from the pure elements is -0.285 eV per atom.

The space group is Cmcm (No. 63) and the conventional cell measures 3.262, 14.385 and 4.703 Å, with angles of 90.00, 90.00 and 90.00 degrees. The inequivalent atoms are Mg at (0.000, 0.072, 0.250), U at (0.000, 0.228, 0.750) and Rh at (0.000, 0.418, 0.250).

---

Below is crystalline ZnReMo4 at its relaxed geometry, with properties calculated at the PBE level.

The energy of formation from the pure elements is 0.386 eV per atom.

The space group is F-43m (No. 216) and the conventional cell measures 7.304, 7.304 and 7.304 Å, with angles of 90.00, 90.00 and 90.00 degrees. The inequivalent atoms are Zn at (0.000, 0.000, 0.000), Re at (0.250, 0.250, 0.250) and Mo at (0.125, 0.125, 0.625).

---

Below is crystalline La3HgTeBr at its relaxed geometry, with properties calculated at the PBE level.

Its uncorrected formation energy is -1.0195 eV per atom.

The space group is P2_1/m (No. 11) and the conventional cell measures 8.507, 4.378 and 11.046 Å, with angles of 90.00, 108.51 and 90.00 degrees. The inequivalent atoms are La at (0.032, 0.250, 0.270), La at (0.240, 0.250, 0.040), La at (0.379, 0.750, 0.594), Hg at (0.105, 0.250, 0.576), Te at (0.329, 0.750, 0.281) and Br at (0.352, 0.750, 0.882).

---

Below is crystalline MnTlHg2 at its relaxed geometry, with properties calculated at the PBE level.

The energy of formation from the pure elements is 0.245 eV per atom.

The space group is Imm2 (No. 44) and the conventional cell measures 3.171, 4.703 and 13.013 Å, with angles of 90.00, 90.00 and 90.00 degrees. The inequivalent atoms are Mn at (0.000, 0.000, 0.000), Tl at (0.000, 0.500, 0.697), Hg at (0.000, 0.000, 0.506) and Hg at (0.000, 0.500, 0.319).

---

Below is crystalline CsGa2Sn2 at its relaxed geometry, with properties calculated at the PBE level.

The relative energy among the computed polymorphs comes out at 0.129 eV per formula unit. The energy of formation from the pure elements is -0.133 eV per atom.

The space group is I4/mmm (No. 139) and the conventional cell measures 5.028, 5.028 and 11.563 Å, with angles of 90.00, 90.00 and 90.00 degrees. The inequivalent atoms are Cs at (0.000, 0.000, 0.000), Ga at (0.000, 0.000, 0.383) and Sn at (0.000, 0.500, 0.250).

---

Below is crystalline GdYTe2 at its relaxed geometry, with properties calculated at the PBE level.

The relative energy among the computed polymorphs comes out at 0.531 eV per formula unit. Its uncorrected formation energy is -1.2347 eV per atom.

The space group is P4/mmm (No. 123) and the conventional cell measures 3.805, 3.805 and 7.611 Å, with angles of 90.00, 90.00 and 90.00 degrees. The inequivalent atoms are Gd at (0.000, 0.000, 0.000), Y at (0.000, 0.000, 0.500) and Te at (0.500, 0.500, 0.253).

---

Below is crystalline InTc at its relaxed geometry, with properties calculated at the PBE level.

The energy of formation from the pure elements is 0.348 eV per atom.

The space group is Imma (No. 74) and the conventional cell measures 3.143, 4.665 and 9.766 Å, with angles of 90.00, 90.00 and 90.00 degrees. The inequivalent atoms are In at (0.000, 0.250, 0.110) and Tc at (0.000, 0.250, 0.643).

---

Below is crystalline LiEu2Gd at its relaxed geometry, with properties calculated at the PBE level.

The relative energy among the computed polymorphs comes out at 0.579 eV per formula unit. The energy of formation from the pure elements is 0.223 eV per atom.

The space group is Fm-3m (No. 225) and the conventional cell measures 8.231, 8.231 and 8.231 Å, with angles of 90.00, 90.00 and 90.00 degrees. The inequivalent atoms are Li at (0.000, 0.000, 0.000), Eu at (0.250, 0.250, 0.250) and Gd at (0.000, 0.000, 0.500).

---

| no. | mass density (g/cm3) |
| --- | --- |
| 1 | 6.3 |
| 2 | 6.9 |
| 3 | 8.1 |
| 4 | 8.8 |
| 5 | 5.9 |
| 6 | 2.2 |
| 7 | 4.7 |
| 8 | 5.5 |
| 9 | 11.0 |
| 10 | 5.6 |
| 11 | 11.0 |
| 12 | 10.8 |
| 13 | 7.0 |
| 14 | 11.3 |
| 15 | 5.8 |
| 16 | 7.6 |
| 17 | 9.9 |
| 18 | 5.6 |